1.
First-principles (PBE) data for a geometry-optimized SrLi2Au6 structure, as listed in Alexandria via LeMat-Bulk.

```
data_SrLi2Au6
_space_group_name_H-M_alt 'P 1'
_space_group_IT_number 1
_space_group_name_Hall 'P 1'
_cell_length_a 8.288
_cell_length_b 8.288
_cell_length_c 8.288
_cell_angle_alpha 60.00
_cell_angle_beta 60.00
_cell_angle_gamma 60.00
loop_
_atom_site_label
_atom_site_type_symbol
_atom_site_fract_x
_atom_site_fract_y
_atom_site_fract_z
Sr1 Sr 0.125 0.125 0.125
Sr2 Sr 0.875 0.875 0.875
Li1 Li 0.000 0.500 0.500
Li2 Li 0.500 0.000 0.500
Li3 Li 0.500 0.500 0.000
Li4 Li 0.500 0.500 0.500
Au1 Au 0.130 0.130 0.620
Au2 Au 0.130 0.620 0.130
Au3 Au 0.130 0.620 0.620
Au4 Au 0.380 0.380 0.870
Au5 Au 0.380 0.870 0.380
Au6 Au 0.380 0.870 0.870
Au7 Au 0.620 0.130 0.130
Au8 Au 0.620 0.130 0.620
Au9 Au 0.620 0.620 0.130
Au10 Au 0.870 0.380 0.380
Au11 Au 0.870 0.380 0.870
Au12 Au 0.870 0.870 0.380
```

Calculated values
The calculation puts the raw total energy at -54.99 eV/cell. As for the space group: No. 227. The density of states at the Fermi level comes out at 4.8 states/eV per cell. The value obtained for the energy relative to the elements is -0.258 eV per atom. The calculation puts the volume at 22.37 A^3/atom.



2.
First-principles (PBE) data for a geometry-optimized Sr2Li9Au4 structure, as listed in Alexandria via LeMat-Bulk.

```
data_Sr2Li9Au4
_space_group_name_H-M_alt 'P 1'
_space_group_IT_number 1
_space_group_name_Hall 'P 1'
_cell_length_a 4.469
_cell_length_b 4.469
_cell_length_c 17.734
_cell_angle_alpha 90.00
_cell_angle_beta 90.00
_cell_angle_gamma 120.00
loop_
_atom_site_label
_atom_site_type_symbol
_atom_site_fract_x
_atom_site_fract_y
_atom_site_fract_z
Sr1 Sr 0.333 0.667 0.264
Sr2 Sr 0.667 0.333 0.736
Li1 Li 0.000 0.000 0.000
Li2 Li 0.000 0.000 0.143
Li3 Li 0.000 0.000 0.408
Li4 Li 0.000 0.000 0.592
Li5 Li 0.000 0.000 0.857
Li6 Li 0.333 0.667 0.055
Li7 Li 0.333 0.667 0.464
Li8 Li 0.667 0.333 0.536
Li9 Li 0.667 0.333 0.945
Au1 Au 0.333 0.667 0.615
Au2 Au 0.333 0.667 0.892
Au3 Au 0.667 0.333 0.108
Au4 Au 0.667 0.333 0.385
```

Calculated values
The calculation puts the raw total energy at -39.91 eV/cell. As for the space group: No. 164. The density of states at the Fermi level comes out at 4.3 states/eV per cell. The value obtained for the energy relative to the elements is -0.414 eV per atom. The calculation puts the volume at 20.45 A^3/atom.



3.
First-principles (PBE) data for a geometry-optimized Sr8Li2Au structure, as listed in Alexandria via LeMat-Bulk.

```
data_Sr8Li2Au
_space_group_name_H-M_alt 'P 1'
_space_group_IT_number 1
_space_group_name_Hall 'P 1'
_cell_length_a 10.892
_cell_length_b 10.892
_cell_length_c 10.396
_cell_angle_alpha 96.32
_cell_angle_beta 96.32
_cell_angle_gamma 24.31
loop_
_atom_site_label
_atom_site_type_symbol
_atom_site_fract_x
_atom_site_fract_y
_atom_site_fract_z
Sr1 Sr 0.009 0.009 0.205
Sr2 Sr 0.211 0.211 0.341
Sr3 Sr 0.350 0.350 0.998
Sr4 Sr 0.406 0.406 0.457
Sr5 Sr 0.594 0.594 0.543
Sr6 Sr 0.650 0.650 0.002
Sr7 Sr 0.789 0.789 0.659
Sr8 Sr 0.991 0.991 0.795
Li1 Li 0.179 0.179 0.752
Li2 Li 0.821 0.821 0.248
Au1 Au 0.500 0.500 0.000
```

Calculated values
The calculation puts the raw total energy at -21.83 eV/cell. As for the space group: No. 12. The density of states at the Fermi level comes out at 11.9 states/eV per cell. As for the energy above the most stable polymorph in this dataset: 0.0 meV per atom. The value obtained for the energy relative to the elements is -0.115 eV per atom. The calculation puts the volume at 45.87 A^3/atom.



4.
First-principles (PBE) data for a geometry-optimized Sr2Li3Au4 structure, as listed in Alexandria via LeMat-Bulk.

```
data_Sr2Li3Au4
_space_group_name_H-M_alt 'P 1'
_space_group_IT_number 1
_space_group_name_Hall 'P 1'
_cell_length_a 8.611
_cell_length_b 8.611
_cell_length_c 7.964
_cell_angle_alpha 90.00
_cell_angle_beta 90.00
_cell_angle_gamma 138.20
loop_
_atom_site_label
_atom_site_type_symbol
_atom_site_fract_x
_atom_site_fract_y
_atom_site_fract_z
Sr1 Sr 0.113 0.887 0.915
Sr2 Sr 0.387 0.613 0.415
Sr3 Sr 0.613 0.387 0.585
Sr4 Sr 0.887 0.113 0.085
Li1 Li 0.000 0.000 0.500
Li2 Li 0.033 0.467 0.750
Li3 Li 0.467 0.033 0.250
Li4 Li 0.500 0.500 0.000
Li5 Li 0.533 0.967 0.750
Li6 Li 0.967 0.533 0.250
Au1 Au 0.185 0.815 0.528
Au2 Au 0.198 0.302 0.750
Au3 Au 0.302 0.198 0.250
Au4 Au 0.315 0.685 0.028
Au5 Au 0.685 0.315 0.972
Au6 Au 0.698 0.802 0.750
Au7 Au 0.802 0.698 0.250
Au8 Au 0.815 0.185 0.472
```

Calculated values
The calculation puts the raw total energy at -55.11 eV/cell. As for the space group: No. 64. The density of states at the Fermi level comes out at 6.6 states/eV per cell. The value obtained for the energy relative to the elements is -0.593 eV per atom. The calculation puts the volume at 21.87 A^3/atom.



5.
First-principles (PBE) data for a geometry-optimized SrLi3Au structure, as listed in Alexandria via LeMat-Bulk.

```
data_SrLi3Au
_space_group_name_H-M_alt 'P 1'
_space_group_IT_number 1
_space_group_name_Hall 'P 1'
_cell_length_a 4.411
_cell_length_b 4.411
_cell_length_c 7.026
_cell_angle_alpha 108.15
_cell_angle_beta 108.15
_cell_angle_gamma 90.03
loop_
_atom_site_label
_atom_site_type_symbol
_atom_site_fract_x
_atom_site_fract_y
_atom_site_fract_z
Sr1 Sr 0.000 0.000 0.000
Li1 Li 0.280 0.781 0.561
Li2 Li 0.623 0.623 0.246
Li3 Li 0.781 0.280 0.561
Au1 Au 0.410 0.410 0.822
```

Calculated values
The calculation puts the raw total energy at -12.26 eV/cell. As for the space group: No. 8. The density of states at the Fermi level comes out at 2.5 states/eV per cell. As for the energy above the most stable polymorph in this dataset: 5.2 meV per atom. The value obtained for the energy relative to the elements is -0.311 eV per atom. The calculation puts the volume at 24.54 A^3/atom.



6.
First-principles (PBE) data for a geometry-optimized SrLi3Au structure, as listed in Alexandria via LeMat-Bulk.

```
data_SrLi3Au
_space_group_name_H-M_alt 'P 1'
_space_group_IT_number 1
_space_group_name_Hall 'P 1'
_cell_length_a 5.481
_cell_length_b 5.481
_cell_length_c 5.481
_cell_angle_alpha 90.00
_cell_angle_beta 90.00
_cell_angle_gamma 90.00
loop_
_atom_site_label
_atom_site_type_symbol
_atom_site_fract_x
_atom_site_fract_y
_atom_site_fract_z
Sr1 Sr 0.000 0.000 0.000
Li1 Li 0.000 0.000 0.500
Li2 Li 0.000 0.500 0.000
Li3 Li 0.500 0.000 0.000
Au1 Au 0.500 0.500 0.500
```

Calculated values
The calculation puts the raw total energy at -5.80 eV/cell. As for the space group: No. 221. The density of states at the Fermi level comes out at 3.5 states/eV per cell. As for the energy above the most stable polymorph in this dataset: 1295.3 meV per atom. The value obtained for the energy relative to the elements is 0.979 eV per atom. The calculation puts the volume at 32.93 A^3/atom.



7.
First-principles (PBE) data for a geometry-optimized Sr2Li12Au7 structure, as listed in Alexandria via LeMat-Bulk.

```
data_Sr2Li12Au7
_space_group_name_H-M_alt 'P 1'
_space_group_IT_number 1
_space_group_name_Hall 'P 1'
_cell_length_a 10.526
_cell_length_b 10.526
_cell_length_c 4.239
_cell_angle_alpha 90.00
_cell_angle_beta 90.00
_cell_angle_gamma 120.00
loop_
_atom_site_label
_atom_site_type_symbol
_atom_site_fract_x
_atom_site_fract_y
_atom_site_fract_z
Sr1 Sr 0.000 0.000 0.000
Sr2 Sr 0.333 0.667 0.500
Li1 Li 0.038 0.744 0.500
Li2 Li 0.116 0.378 0.000
Li3 Li 0.256 0.294 0.500
Li4 Li 0.262 0.884 0.000
Li5 Li 0.387 0.200 0.000
Li6 Li 0.544 0.126 0.500
Li7 Li 0.582 0.456 0.500
Li8 Li 0.622 0.738 0.000
Li9 Li 0.706 0.962 0.500
Li10 Li 0.800 0.187 0.000
Li11 Li 0.813 0.613 0.000
Li12 Li 0.874 0.418 0.500
Au1 Au 0.056 0.593 0.000
Au2 Au 0.251 0.031 0.500
Au3 Au 0.407 0.463 0.000
Au4 Au 0.537 0.944 0.000
Au5 Au 0.667 0.333 0.000
Au6 Au 0.780 0.749 0.500
Au7 Au 0.969 0.220 0.500
```

Calculated values
The calculation puts the raw total energy at -59.37 eV/cell. As for the space group: No. 174. The density of states at the Fermi level comes out at 8.7 states/eV per cell. The value obtained for the energy relative to the elements is -0.481 eV per atom. The calculation puts the volume at 19.37 A^3/atom.



8.
First-principles (PBE) data for a geometry-optimized Sr3Li4Au4 structure, as listed in Alexandria via LeMat-Bulk.

```
data_Sr3Li4Au4
_space_group_name_H-M_alt 'P 1'
_space_group_IT_number 1
_space_group_name_Hall 'P 1'
_cell_length_a 8.846
_cell_length_b 8.846
_cell_length_c 8.846
_cell_angle_alpha 150.87
_cell_angle_beta 127.92
_cell_angle_gamma 60.79
loop_
_atom_site_label
_atom_site_type_symbol
_atom_site_fract_x
_atom_site_fract_y
_atom_site_fract_z
Sr1 Sr 0.000 0.000 0.000
Sr2 Sr 0.374 0.874 0.500
Sr3 Sr 0.626 0.126 0.500
Li1 Li 0.015 0.325 0.690
Li2 Li 0.366 0.675 0.690
Li3 Li 0.634 0.325 0.310
Li4 Li 0.985 0.675 0.310
Au1 Au 0.218 0.218 0.000
Au2 Au 0.309 0.500 0.809
Au3 Au 0.691 0.500 0.191
Au4 Au 0.782 0.782 0.000
```

Calculated values
The calculation puts the raw total energy at -32.21 eV/cell. As for the space group: No. 71. The density of states at the Fermi level comes out at 4.1 states/eV per cell. As for the energy above the most stable polymorph in this dataset: 0.0 meV per atom. The value obtained for the energy relative to the elements is -0.582 eV per atom. The calculation puts the volume at 23.97 A^3/atom.



9.
First-principles (PBE) data for a geometry-optimized SrLi9Au2 structure, as listed in Alexandria via LeMat-Bulk.

```
data_SrLi9Au2
_space_group_name_H-M_alt 'P 1'
_space_group_IT_number 1
_space_group_name_Hall 'P 1'
_cell_length_a 8.885
_cell_length_b 8.885
_cell_length_c 8.885
_cell_angle_alpha 100.16
_cell_angle_beta 100.16
_cell_angle_gamma 130.32
loop_
_atom_site_label
_atom_site_type_symbol
_atom_site_fract_x
_atom_site_fract_y
_atom_site_fract_z
Sr1 Sr 0.375 0.625 0.750
Sr2 Sr 0.625 0.375 0.250
Li1 Li 0.125 0.875 0.250
Li2 Li 0.149 0.576 0.327
Li3 Li 0.149 0.823 0.573
Li4 Li 0.177 0.250 0.327
Li5 Li 0.177 0.851 0.927
Li6 Li 0.250 0.177 0.827
Li7 Li 0.250 0.424 0.073
Li8 Li 0.424 0.250 0.573
Li9 Li 0.424 0.851 0.173
Li10 Li 0.576 0.149 0.827
Li11 Li 0.576 0.750 0.427
Li12 Li 0.750 0.576 0.927
Li13 Li 0.750 0.823 0.173
Li14 Li 0.823 0.149 0.073
Li15 Li 0.823 0.750 0.673
Li16 Li 0.851 0.177 0.427
Li17 Li 0.851 0.424 0.673
Li18 Li 0.875 0.125 0.750
Au1 Au 0.000 0.000 0.000
Au2 Au 0.000 0.000 0.500
Au3 Au 0.000 0.500 0.000
Au4 Au 0.500 0.000 0.500
```

Calculated values
The calculation puts the raw total energy at -57.24 eV/cell. As for the space group: No. 141. The density of states at the Fermi level comes out at 12.5 states/eV per cell. The value obtained for the energy relative to the elements is -0.263 eV per atom. The calculation puts the volume at 20.22 A^3/atom.



10.
First-principles (PBE) data for a geometry-optimized Sr2Li9Au6 structure, as listed in Alexandria via LeMat-Bulk.

```
data_Sr2Li9Au6
_space_group_name_H-M_alt 'P 1'
_space_group_IT_number 1
_space_group_name_Hall 'P 1'
_cell_length_a 5.794
_cell_length_b 5.794
_cell_length_c 12.647
_cell_angle_alpha 90.00
_cell_angle_beta 90.00
_cell_angle_gamma 120.00
loop_
_atom_site_label
_atom_site_type_symbol
_atom_site_fract_x
_atom_site_fract_y
_atom_site_fract_z
Sr1 Sr 0.000 0.000 0.171
Sr2 Sr 0.000 0.000 0.829
Li1 Li 0.000 0.500 0.000
Li2 Li 0.000 0.500 0.342
Li3 Li 0.000 0.500 0.658
Li4 Li 0.500 0.000 0.000
Li5 Li 0.500 0.000 0.342
Li6 Li 0.500 0.000 0.658
Li7 Li 0.500 0.500 0.000
Li8 Li 0.500 0.500 0.342
Li9 Li 0.500 0.500 0.658
Au1 Au 0.333 0.667 0.173
Au2 Au 0.333 0.667 0.500
Au3 Au 0.333 0.667 0.827
Au4 Au 0.667 0.333 0.173
Au5 Au 0.667 0.333 0.500
Au6 Au 0.667 0.333 0.827
```

Calculated values
The calculation puts the raw total energy at -47.09 eV/cell. As for the space group: No. 191. The density of states at the Fermi level comes out at 6.2 states/eV per cell. The value obtained for the energy relative to the elements is -0.402 eV per atom. The calculation puts the volume at 21.63 A^3/atom.



Question: The highest volume belongs to which entry?
Answer: Sr8Li2Au



Question: volume of number 8 (Sr3Li4Au4)?
Answer: 23.97 A^3/atom



Question: What is the formula in the ninth record?
Answer: SrLi9Au2